Here is a geometry-optimized Ca2AcCu4 structure from Alexandria via LeMat-Bulk. Energies are from PBE.

## Properties
total magnetization = 0.00 μB/f.u.
D(E_F) = 0.4364 states/eV per atom
energy relative to the elements = -164.8 meV per atom
electronic total energy = -25.65 eV per cell

```
7
Lattice="-1.556 -0.145 3.977 3.055 -2.577 1.102 4.555 8.650 -0.198" Properties=species:S:1:pos:R:3 pbc="T T T"
Ca 4.077 3.213 4.008
Ca 1.976 2.716 0.872
Ac -0.778 -0.072 1.989
Cu 2.228 0.671 3.192
Cu 3.826 5.257 1.688
Cu 2.250 -0.295 0.870
Cu 3.803 6.223 4.010
```